## Nd2CdCoAs2O2 (PBE with a Hubbard U)

Data for a relaxed Nd2CdCoAs2O2 crystal.

Cell and atoms, written as CIF:
```
data_Nd2CdCoAs2O2
_chemical_formula_sum 'Nd2 Cd1 Co1 As2 O2'
_symmetry_space_group_name_H-M 'P 1'
_symmetry_Int_Tables_number 1
_cell_length_a 4.1018
_cell_length_b 4.1018
_cell_length_c 9.1464
_cell_angle_alpha 90.00
_cell_angle_beta 90.00
_cell_angle_gamma 90.00
loop_
_symmetry_equiv_pos_as_xyz
'x,y,z'
loop_
_atom_site_label
_atom_site_type_symbol
_atom_site_fract_x
_atom_site_fract_y
_atom_site_fract_z
As1 As 0.5000 0.0000 0.1844
As2 As 0.0000 0.5000 0.8156
Cd1 Cd 0.0000 0.0000 0.0000
Co1 Co 0.5000 0.5000 0.0000
Nd1 Nd 0.0000 0.5000 0.3736
Nd2 Nd 0.5000 0.0000 0.6264
O1 O 0.0000 0.0000 0.5000
O2 O 0.5000 0.5000 0.5000
```

Values from the calculation:
The raw total energy comes out at -5.9460 eV/atom. As for the crystal system: tetragonal.